CsTmCuCl6 after structural relaxation, computed with PBE-GGA.

CIF file:
```
data_CsTmCuCl6
_cell_length_a 6.525
_cell_length_b 6.537
_cell_length_c 7.775
_cell_angle_alpha 93.60
_cell_angle_beta 93.96
_cell_angle_gamma 113.21
_symmetry_space_group_name_H-M 'P 1'
_symmetry_Int_Tables_number 1
_symmetry_space_group_name_Hall 'P 1'
loop_
_atom_site_label
_atom_site_type_symbol
_atom_site_fract_x
_atom_site_fract_y
_atom_site_fract_z
Cs1 Cs 0.000 0.000 0.000
Tm1 Tm 0.363 0.640 0.501
Cu1 Cu 0.712 0.293 0.499
Cl1 Cl 0.044 0.330 0.650
Cl2 Cl 0.059 0.594 0.263
Cl3 Cl 0.410 0.940 0.740
Cl4 Cl 0.451 0.336 0.307
Cl5 Cl 0.669 0.960 0.349
Cl6 Cl 0.670 0.551 0.692
```

Values from the calculation:
The calculation puts the magnetization at 1.00 Bohr magnetons per cell. Its crystal system is triclinic. The uncorrected formation energy comes out at -1.64 eV/atom.



KTl2HgH after structural relaxation, computed with PBE-GGA.

CIF file:
```
data_KTl2HgH
_cell_length_a 5.090
_cell_length_b 5.090
_cell_length_c 5.089
_cell_angle_alpha 90.00
_cell_angle_beta 90.00
_cell_angle_gamma 90.00
_symmetry_space_group_name_H-M 'P 4/m m m'
_symmetry_Int_Tables_number 123
_symmetry_space_group_name_Hall '-P 4 2'
loop_
_atom_site_label
_atom_site_type_symbol
_atom_site_fract_x
_atom_site_fract_y
_atom_site_fract_z
K1 K 0.000 0.000 0.000
Tl1 Tl 0.000 0.500 0.500
Hg1 Hg 0.500 0.500 0.000
H1 H 0.000 0.000 0.500
```

Values from the calculation:
The calculation puts the magnetization at 0.00 Bohr magnetons per cell. Its crystal system is tetragonal. The value obtained for the energy is -1.855 eV per atom.



Nd2DyAg2 after structural relaxation, computed with PBE-GGA.

CIF file:
```
data_Nd2DyAg2
_cell_length_a 3.728
_cell_length_b 16.670
_cell_length_c 9.127
_cell_angle_alpha 90.00
_cell_angle_beta 90.00
_cell_angle_gamma 90.00
_symmetry_space_group_name_H-M 'C m c 21'
_symmetry_Int_Tables_number 36
_symmetry_space_group_name_Hall 'C 2c -2'
loop_
_atom_site_label
_atom_site_type_symbol
_atom_site_fract_x
_atom_site_fract_y
_atom_site_fract_z
Nd1 Nd 0.000 0.134 0.000
Nd2 Nd 0.000 0.320 0.174
Dy1 Dy 0.000 0.460 0.834
Ag1 Ag 0.000 0.041 0.611
Ag2 Ag 0.000 0.186 0.397
```

Values from the calculation:
For the formation energy, the calculation gives -0.110 eV/atom. The calculation puts the magnetization at 0.00 Bohr magnetons per cell. Its crystal system is orthorhombic.



Ho6SbTe2Se3 after structural relaxation, computed with PBE-GGA.

CIF file:
```
data_Ho6SbTe2Se3
_cell_length_a 18.368
_cell_length_b 4.184
_cell_length_c 8.452
_cell_angle_alpha 90.00
_cell_angle_beta 103.75
_cell_angle_gamma 90.00
_symmetry_space_group_name_H-M 'C 1 2/m 1'
_symmetry_Int_Tables_number 12
_symmetry_space_group_name_Hall '-C 2y'
loop_
_atom_site_label
_atom_site_type_symbol
_atom_site_fract_x
_atom_site_fract_y
_atom_site_fract_z
Ho1 Ho 0.007 0.000 0.242
Ho2 Ho 0.158 0.500 0.102
Ho3 Ho 0.170 0.500 0.562
Sb1 Sb 0.000 0.500 0.500
Te1 Te 0.168 0.000 0.835
Se1 Se 0.000 0.500 0.000
Se2 Se 0.168 0.000 0.333
```

Values from the calculation:
The calculation puts the magnetization at 0.00 Bohr magnetons per cell. Its crystal system is monoclinic. The uncorrected formation energy comes out at -1.48 eV/atom.



Cs2RbSe after structural relaxation, computed with PBE-GGA.

CIF file:
```
data_Cs2RbSe
_cell_length_a 13.189
_cell_length_b 13.189
_cell_length_c 6.739
_cell_angle_alpha 90.00
_cell_angle_beta 90.00
_cell_angle_gamma 90.00
_symmetry_space_group_name_H-M 'I -4 2 d'
_symmetry_Int_Tables_number 122
_symmetry_space_group_name_Hall 'I -4 2bw'
loop_
_atom_site_label
_atom_site_type_symbol
_atom_site_fract_x
_atom_site_fract_y
_atom_site_fract_z
Cs1 Cs 0.085 0.250 0.125
Rb1 Rb 0.000 0.000 0.500
Se1 Se 0.000 0.000 0.000
```

Values from the calculation:
The calculation puts the magnetization at 0.00 Bohr magnetons per cell. Its crystal system is tetragonal. The uncorrected formation energy comes out at -0.68 eV/atom.



Tb2Mg2Pd3 after structural relaxation, computed with PBE-GGA.

CIF file:
```
data_Tb2Mg2Pd3
_cell_length_a 9.840
_cell_length_b 4.311
_cell_length_c 7.329
_cell_angle_alpha 90.00
_cell_angle_beta 106.29
_cell_angle_gamma 90.00
_symmetry_space_group_name_H-M 'C 1 2/m 1'
_symmetry_Int_Tables_number 12
_symmetry_space_group_name_Hall '-C 2y'
loop_
_atom_site_label
_atom_site_type_symbol
_atom_site_fract_x
_atom_site_fract_y
_atom_site_fract_z
Tb1 Tb 0.129 0.000 0.322
Mg1 Mg 0.131 0.500 0.923
Pd1 Pd 0.000 0.500 0.500
Pd2 Pd 0.177 0.000 0.726
```

Values from the calculation:
For the formation energy, the calculation gives -0.712 eV/atom. The calculation puts the magnetization at 0.00 Bohr magnetons per cell. Its crystal system is monoclinic.



TaCoTe2 after structural relaxation, computed with PBE-GGA.

CIF file:
```
data_TaCoTe2
_cell_length_a 3.528
_cell_length_b 3.528
_cell_length_c 7.547
_cell_angle_alpha 90.00
_cell_angle_beta 90.00
_cell_angle_gamma 90.00
_symmetry_space_group_name_H-M 'P 4 m m'
_symmetry_Int_Tables_number 99
_symmetry_space_group_name_Hall 'P 4 -2'
loop_
_atom_site_label
_atom_site_type_symbol
_atom_site_fract_x
_atom_site_fract_y
_atom_site_fract_z
Ta1 Ta 0.000 0.000 0.000
Co1 Co 0.500 0.500 0.847
Te1 Te 0.000 0.000 0.654
Te2 Te 0.500 0.500 0.192
```

Values from the calculation:
The calculation puts the magnetization at 0.00 Bohr magnetons per cell. Its crystal system is tetragonal. The uncorrected formation energy comes out at 0.00 eV/atom.



HfTi8Ga6 after structural relaxation, computed with PBE-GGA.

CIF file:
```
data_HfTi8Ga6
_cell_length_a 7.6083
_cell_length_b 7.6083
_cell_length_c 16.2487
_cell_angle_alpha 90.00
_cell_angle_beta 90.00
_cell_angle_gamma 120.00
_symmetry_space_group_name_H-M 'R -3'
_symmetry_Int_Tables_number 148
_symmetry_space_group_name_Hall '-R 3'
loop_
_atom_site_label
_atom_site_type_symbol
_atom_site_fract_x
_atom_site_fract_y
_atom_site_fract_z
Hf1 Hf 0.0000 0.0000 0.0000
Ti1 Ti 0.0000 0.0000 0.3320
Ti2 Ti 0.0008 0.6728 0.1141
Ga1 Ga 0.0011 0.3437 0.0602
```

Values from the calculation:
For the formation energy, the calculation gives -0.136 eV/atom. The calculation puts the magnetization at 0.00 Bohr magnetons per cell. Its crystal system is trigonal.